[1]
! NpPa2Se4 (GGA-PBE, relaxed); values from VASP
&SYSTEM
  ibrav = 0, nat = 14, ntyp = 3
/
ATOMIC_SPECIES
Se 78.96 Se.upf
Np 237.00 Np.upf
Pa 231.04 Pa.upf
CELL_PARAMETERS angstrom
4.0008 0.0000 0.0000
-2.0004 6.5810 0.0000
0.0000 0.0000 13.9923
ATOMIC_POSITIONS crystal
Se 0.2196 0.4393 0.8685
Se 0.5000 0.0000 0.5000
Se 0.5000 0.0000 0.0000
Np 0.6103 0.2206 0.7500
Pa 0.8596 0.7191 0.5622
Pa 0.1404 0.2809 0.0622
Se 0.0519 0.1039 0.2500
Se 0.7804 0.5607 0.1315
Np 0.3897 0.7794 0.2500
Pa 0.8596 0.7191 0.9378
Se 0.9481 0.8961 0.7500
Se 0.2196 0.4393 0.6315
Pa 0.1404 0.2809 0.4378
Se 0.7804 0.5607 0.3685
! raw formation energy: -1162 meV/atom
! SG: Cmcm, No. 63
! E above lowest polymorph: 78.8 meV per atom

***

[2]
! PrTiPt3 (GGA-PBE, relaxed); values from VASP
&SYSTEM
  ibrav = 0, nat = 10, ntyp = 3
/
ATOMIC_SPECIES
Pt 195.08 Pt.upf
Pr 140.91 Pr.upf
Ti 47.87 Ti.upf
CELL_PARAMETERS angstrom
-3.8643 4.2823 1.3530
-1.8881 0.1998 -6.0256
-2.8669 -3.8765 4.0812
ATOMIC_POSITIONS crystal
Pt 0.7500 0.1901 0.8100
Pt 0.2500 0.8099 0.1900
Pr 0.7499 0.6667 0.3334
Pt 0.7500 0.6200 0.8100
Ti 0.0000 0.0000 0.0000
Pt 0.2500 0.8099 0.6200
Ti 0.5000 0.0000 0.0000
Pr 0.2501 0.3333 0.6666
Pt 0.7500 0.1901 0.3801
Pt 0.2500 0.3800 0.1900
! uncorrected energy: -7.068 eV per atom
! SG: P6_3/mmc, No. 194

***

[3]
! Sc4PBr5 (GGA-PBE, relaxed); values from VASP
&SYSTEM
  ibrav = 0, nat = 10, ntyp = 3
/
ATOMIC_SPECIES
Br 79.90 Br.upf
Sc 44.96 Sc.upf
P 30.97 P.upf
CELL_PARAMETERS angstrom
-0.3375 -3.3144 -1.8292
7.7963 -0.3494 -0.8051
-1.1415 -2.3569 8.4295
ATOMIC_POSITIONS crystal
Br 0.5000 0.5000 0.0000
Br 0.1649 0.3305 0.3298
Sc 0.9994 0.7874 0.9988
P 0.5000 0.0000 0.0000
Br 0.8351 0.6695 0.6702
Sc 0.3547 0.9242 0.7095
Br 0.8291 0.1627 0.6582
Br 0.1709 0.8373 0.3418
Sc 0.6453 0.0758 0.2905
Sc 0.0006 0.2126 0.0012
! raw formation energy: -1519 meV/atom
! SG: C2/m, No. 12

***

[4]
! Cs3SmB2O6 (GGA-PBE, relaxed); values from VASP
&SYSTEM
  ibrav = 0, nat = 12, ntyp = 4
/
ATOMIC_SPECIES
Cs 132.91 Cs.upf
B 10.81 B.upf
O 16.00 O.upf
Sm 150.36 Sm.upf
CELL_PARAMETERS angstrom
5.8107 0.0000 0.0000
-2.9054 5.0322 0.0000
0.0000 0.0000 7.7019
ATOMIC_POSITIONS crystal
Cs 0.6667 0.3333 0.2375
Cs 0.3333 0.6667 0.7625
B 0.3333 0.6667 0.3244
O 0.8061 0.1939 0.6762
B 0.6667 0.3333 0.6756
O 0.3877 0.1939 0.6762
Sm 0.0000 0.0000 0.5000
Cs 0.0000 0.0000 0.0000
O 0.8061 0.6123 0.6762
O 0.1939 0.3877 0.3238
O 0.1939 0.8061 0.3238
O 0.6123 0.8061 0.3238
! raw formation energy: -2385 meV/atom
! SG: P-3m1, No. 164

***

[5]
! ZrGeOs (GGA-PBE, relaxed); values from VASP
&SYSTEM
  ibrav = 0, nat = 3, ntyp = 3
/
ATOMIC_SPECIES
Os 190.23 Os.upf
Ge 72.64 Ge.upf
Zr 91.22 Zr.upf
CELL_PARAMETERS angstrom
-1.6958 -3.3336 2.2234
4.1101 -0.1948 -1.4147
0.9941 1.3011 2.7090
ATOMIC_POSITIONS crystal
Os 0.0000 0.0000 0.5000
Ge 0.3333 0.6667 0.5000
Zr 0.6667 0.3333 0.0000
! uncorrected energy: -8.578 eV per atom
! SG: P-6m2, No. 187

***

[6]
! Pm2Sm3Tm6 (GGA-PBE, relaxed); values from VASP
&SYSTEM
  ibrav = 0, nat = 11, ntyp = 3
/
ATOMIC_SPECIES
Tm 168.93 Tm.upf
Sm 150.36 Sm.upf
Pm 145.00 Pm.upf
CELL_PARAMETERS angstrom
-0.0749 -1.9749 4.2967
-3.7088 -2.6414 -1.2788
12.1328 -9.5244 -6.7691
ATOMIC_POSITIONS crystal
Tm 0.6927 0.6927 0.3855
Sm 0.2036 0.2036 0.4072
Sm 0.0000 0.0000 0.0000
Pm 0.4537 0.4537 0.9074
Sm 0.7964 0.7964 0.5928
Tm 0.3786 0.8786 0.7571
Tm 0.1214 0.6214 0.2429
Pm 0.5463 0.5463 0.0926
Tm 0.3073 0.3073 0.6145
Tm 0.6214 0.1214 0.2429
Tm 0.8786 0.3786 0.7571
! SG: I4/mmm, No. 139
! E above lowest polymorph: 76.2 meV per atom

***

[7]
! LiAcI4 (GGA-PBE, relaxed); values from VASP
&SYSTEM
  ibrav = 0, nat = 6, ntyp = 3
/
ATOMIC_SPECIES
Li 6.94 Li.upf
I 126.90 I.upf
Ac 227.00 Ac.upf
CELL_PARAMETERS angstrom
-0.0953 -4.2093 -2.1217
6.9472 -0.1521 5.2285
-6.3246 -1.9650 4.1824
ATOMIC_POSITIONS crystal
Li 0.5000 0.0000 0.5000
I 0.6183 0.2366 0.9090
Ac 0.0000 0.0000 0.0000
I 0.1061 0.2121 0.4259
I 0.3817 0.7634 0.0910
I 0.8939 0.7879 0.5741
! raw formation energy: -1389 meV/atom
! SG: C2/m, No. 12
! E above lowest polymorph: 0.0 meV per atom

***

[8]
! CdClF2 (GGA-PBE, relaxed); values from VASP
&SYSTEM
  ibrav = 0, nat = 4, ntyp = 3
/
ATOMIC_SPECIES
F 19.00 F.upf
Cl 35.45 Cl.upf
Cd 112.41 Cd.upf
CELL_PARAMETERS angstrom
-4.1299 3.3339 8.1817
-1.2016 2.0519 9.4582
-1.2571 5.2292 8.1355
ATOMIC_POSITIONS crystal
F 0.9325 0.9325 0.9325
Cl 0.5000 0.5000 0.5000
Cd 0.0000 0.0000 0.0000
F 0.0675 0.0675 0.0675
! raw formation energy: -629 meV/atom
! SG: R-3m, No. 166
! E above lowest polymorph: 960.0 meV per atom